This record from the Alexandria database describes TlMoAs2O8 after structural relaxation. The functional is PBE+U.

Values from the calculation:
Crystal system: trigonal
VASP energy in eV per atom: -6.097

Cell: 5.0932 5.0932 9.5036 Å, 74.46 74.46 60.00°
Closest atoms and distances in Å follow each position.
Fractional coordinates of all 12 atoms:
Tl 0.5000 0.5000 0.5000  6 O 3.12
Mo 0.0000 0.0000 0.0000  6 O 1.99
As 0.2663 0.2663 0.2012  4 O 1.67-1.75
As 0.7337 0.7337 0.7988  4 O 1.67-1.75
O 0.2047 0.2047 0.3857  1 As 1.67
O 0.6250 0.2543 0.1293  1 As 1.75
O 0.7952 0.7952 0.6143  1 As 1.67
O 0.9914 0.6250 0.1293  1 As 1.75
O 0.0086 0.3750 0.8707  1 As 1.75
O 0.2543 0.9914 0.1293  1 As 1.75
O 0.7457 0.0086 0.8707  1 As 1.75
O 0.3750 0.7457 0.8707  1 As 1.75